(1)
{"formula": "CaHg3", "functional": "meta-GGA SCAN", "state": "single point on PBEsol structure", "formation_energy_ev_per_atom": -0.4634, "space_group": "No. 139", "final_energy_ev_per_atom": -54.004, "dos_ef_per_ev_cell": 3.4, "magmom_total_mub_per_atom": 0.0000, "lattice_angstrom": [[-2.294, 2.294, 8.974], [2.294, -2.294, 8.974], [2.294, 2.294, -8.974]], "species": ["Ca", "Ca", "Hg", "Hg", "Hg", "Hg", "Hg", "Hg"], "fractional_positions": [[0.125, 0.125, 0.000], [0.875, 0.875, 0.000], [0.000, 0.500, 0.500], [0.250, 0.750, 0.500], [0.375, 0.375, 0.000], [0.500, 0.000, 0.500], [0.625, 0.625, 0.000], [0.750, 0.250, 0.500]]}

(2)
{"formula": "LiSi2Cl", "functional": "meta-GGA SCAN", "state": "single point on PBEsol structure", "e_above_lowest_polymorph_ev_per_atom": 0.0000, "space_group": "No. 8", "final_energy_ev_per_atom": -8.213, "magmom_total_mub_per_atom": 0.0000, "lattice_angstrom": [[3.311, -1.912, 0.000], [3.311, 1.912, 0.000], [-2.198, 0.000, 6.682]], "species": ["Li", "Si", "Si", "Cl"], "fractional_positions": [[0.000, 0.000, 0.000], [0.134, 0.134, 0.397], [0.501, 0.501, 0.499], [0.624, 0.624, 0.872]]}

(3)
{"formula": "LaNCl2", "functional": "meta-GGA SCAN", "state": "single point on PBEsol structure", "space_group": "No. 225", "final_energy_ev_per_atom": -17.987, "dos_ef_per_ev_cell": 3.2, "magmom_total_mub_per_atom": 0.5000, "lattice_angstrom": [[0.000, 3.372, 3.372], [3.372, 0.000, 3.372], [3.372, 3.372, 0.000]], "species": ["La", "N", "Cl", "Cl"], "fractional_positions": [[0.000, 0.000, 0.000], [0.500, 0.500, 0.500], [0.250, 0.250, 0.250], [0.750, 0.750, 0.750]]}

(4)
{"formula": "MgCN2O", "functional": "meta-GGA SCAN", "state": "single point on PBEsol structure", "space_group": "No. 123", "final_energy_ev_per_atom": -5.686, "dos_ef_per_ev_cell": 1.2, "magmom_total_mub_per_atom": 0.8000, "lattice_angstrom": [[4.096, 0.000, 0.000], [0.000, 4.096, 0.000], [0.000, 0.000, 3.751]], "species": ["Mg", "C", "N", "N", "O"], "fractional_positions": [[0.000, 0.000, 0.000], [0.500, 0.500, 0.500], [0.000, 0.500, 0.000], [0.500, 0.000, 0.000], [0.000, 0.000, 0.500]]}

(5)
{"formula": "MgTc2Ge2", "functional": "meta-GGA SCAN", "state": "single point on PBEsol structure", "formation_energy_ev_per_atom": -0.1194, "space_group": "No. 127", "final_energy_ev_per_atom": -22.773, "dos_ef_per_ev_cell": 6.7, "magmom_total_mub_per_atom": 0.0001, "lattice_angstrom": [[7.110, 0.000, 0.000], [0.000, 7.110, 0.000], [0.000, 0.000, 3.024]], "species": ["Mg", "Mg", "Tc", "Tc", "Tc", "Tc", "Ge", "Ge", "Ge", "Ge"], "fractional_positions": [[0.000, 0.000, 0.000], [0.500, 0.500, 0.000], [0.141, 0.359, 0.000], [0.359, 0.859, 0.000], [0.641, 0.141, 0.000], [0.859, 0.641, 0.000], [0.153, 0.653, 0.500], [0.347, 0.153, 0.500], [0.653, 0.847, 0.500], [0.847, 0.347, 0.500]]}

(6)
{"formula": "Al2CrSb", "functional": "meta-GGA SCAN", "state": "single point on PBEsol structure", "space_group": "No. 25", "final_energy_ev_per_atom": -17.652, "dos_ef_per_ev_cell": 2.1, "magmom_total_mub_per_atom": 0.7895, "lattice_angstrom": [[3.086, 0.000, 0.000], [0.000, 3.758, 0.000], [0.000, 0.000, 5.939]], "species": ["Al", "Al", "Cr", "Sb"], "fractional_positions": [[0.000, 0.000, 0.000], [0.500, 0.500, 0.231], [0.000, 0.000, 0.439], [0.500, 0.500, 0.700]]}

(7)
{"formula": "CuAg3", "functional": "meta-GGA SCAN", "state": "single point on PBEsol structure", "formation_energy_ev_per_atom": 0.0919, "space_group": "No. 187", "final_energy_ev_per_atom": -27.233, "dos_ef_per_ev_cell": 1.2, "magmom_total_mub_per_atom": 0.0000, "lattice_angstrom": [[2.807, 0.000, 0.000], [-1.404, 2.431, 0.000], [0.000, 0.000, 9.030]], "species": ["Cu", "Ag", "Ag", "Ag"], "fractional_positions": [[0.000, 0.000, 0.000], [0.000, 0.000, 0.500], [0.333, 0.667, 0.235], [0.333, 0.667, 0.765]]}

(8)
{"formula": "BaTl2Sb", "functional": "meta-GGA SCAN", "state": "single point on PBEsol structure", "e_above_lowest_polymorph_ev_per_atom": 0.0924, "space_group": "No. 44", "final_energy_ev_per_atom": -55.875, "dos_ef_per_ev_cell": 2.1, "magmom_total_mub_per_atom": 0.0002, "lattice_angstrom": [[-2.375, 2.535, 5.361], [2.375, -2.535, 5.361], [2.375, 2.535, -5.361]], "species": ["Ba", "Tl", "Tl", "Sb"], "fractional_positions": [[0.000, 0.000, 0.000], [0.432, 0.432, 0.000], [0.724, 0.224, 0.500], [0.245, 0.745, 0.500]]}